1.
First-principles (PBE) data for a relaxed PaZnRh2O8 crystal, as listed in Alexandria via LeMat-Bulk.

It has space group I-4m2 (No. 119), with a = 6.9731 Å, b = 6.9731 Å, c = 6.7108 Å, α = 90.00°, β = 90.00° and γ = 90.00°. The distinct sites, in fractional coordinates, are Pa at (0.0000, 0.0000, 0.0000), Zn at (0.0000, 0.5000, 0.2500), Rh at (0.0000, 0.0000, 0.5000), Rh at (0.0000, 0.5000, 0.7500), O at (0.0000, 0.1805, 0.2903) and O at (0.0000, 0.3192, 0.9586).

The value obtained for the spin magnetization is 1.53 Bohr magnetons per cell. For the total energy, the calculation gives -160.5 eV/cell. The calculated density comes out at 6.41 g cm⁻³.



2.
First-principles (PBE) data for a relaxed SbIr2W crystal, as listed in Alexandria via LeMat-Bulk.

It has space group Cm (No. 8), with a = 9.2811 Å, b = 2.9458 Å, c = 4.9035 Å, α = 90.00°, β = 96.56° and γ = 90.00°. The distinct sites, in fractional coordinates, are Sb at (0.0000, 0.0000, 0.0000), Ir at (0.2531, 0.5000, 0.2103), Ir at (0.4948, 0.0000, 0.4957) and W at (0.2303, 0.0000, 0.6777).

The value obtained for the spin magnetization is 0.00 Bohr magnetons per cell. For the total energy, the calculation gives -68.2 eV/cell. The calculated density comes out at 17.21 g cm⁻³.



3.
First-principles (PBE) data for a relaxed Pm6Ho2Si crystal, as listed in Alexandria via LeMat-Bulk.

It has space group P-6m2 (No. 187), with a = 3.6193 Å, b = 3.6193 Å, c = 25.5233 Å, α = 90.00°, β = 90.00° and γ = 120.00°. The distinct sites, in fractional coordinates, are Pm at (0.0000, 0.0000, 0.0701), Pm at (0.0000, 0.0000, 0.2937), Pm at (0.3333, 0.6667, 0.4142), Ho at (0.3333, 0.6667, 0.1804) and Si at (0.0000, 0.0000, 0.5000).

The value obtained for the spin magnetization is 0.00 Bohr magnetons per cell. For the total energy, the calculation gives -43.0 eV/cell. The calculated density comes out at 7.04 g cm⁻³.



Question: Which formula does entry 3 have?
Answer: Pm6Ho2Si